# SmGaCo2H | the Alexandria database | PBE-GGA | optimized geometry
data_SmGaCo2H
_cell_length_a 3.733
_cell_length_b 10.443
_cell_length_c 7.062
_cell_angle_alpha 90.00
_cell_angle_beta 90.00
_cell_angle_gamma 90.00
_space_group_name_H-M_alt 'C m c m'
_space_group_IT_number 63
_space_group_name_Hall '-C 2c 2'
loop_
_atom_site_label
_atom_site_type_symbol
_atom_site_fract_x
_atom_site_fract_y
_atom_site_fract_z
Sm1 Sm 0.000 0.058 0.250
Ga1 Ga 0.000 0.221 0.750
Co1 Co 0.000 0.339 0.053
H1 H 0.000 0.500 0.000
# * E_tot: -5.3516 eV/atom
# * crystal system: orthorhombic

# Sm2GaCoH | the Alexandria database | PBE-GGA | optimized geometry
data_Sm2GaCoH
_cell_length_a 6.045
_cell_length_b 4.204
_cell_length_c 7.729
_cell_angle_alpha 90.00
_cell_angle_beta 104.59
_cell_angle_gamma 90.00
_space_group_name_H-M_alt 'P 1 21/m 1'
_space_group_IT_number 11
loop_
_space_group_symop_operation_xyz
'x,y,z'
'-x,-y,-z'
'-x,y+1/2,-z'
'x,-y+1/2,z'
loop_
_atom_site_label
_atom_site_type_symbol
_atom_site_fract_x
_atom_site_fract_y
_atom_site_fract_z
Sm1 Sm 0.230 0.250 0.415
Sm2 Sm 0.240 0.250 0.970
Ga1 Ga 0.328 0.750 0.709
Co1 Co 0.441 0.750 0.235
H1 H 0.163 0.750 0.175
# * E_tot: -4.9996 eV/atom
# * crystal system: monoclinic

# Ta2GaCoH | the Alexandria database | PBE-GGA | optimized geometry
data_Ta2GaCoH
_cell_length_a 4.090
_cell_length_b 4.090
_cell_length_c 3.776
_cell_angle_alpha 90.00
_cell_angle_beta 90.00
_cell_angle_gamma 90.00
_space_group_name_H-M_alt 'P 4/m m m'
_space_group_IT_number 123
_space_group_name_Hall '-P 4 2'
loop_
_atom_site_label
_atom_site_type_symbol
_atom_site_fract_x
_atom_site_fract_y
_atom_site_fract_z
Ta1 Ta 0.000 0.500 0.000
Ga1 Ga 0.000 0.000 0.500
Co1 Co 0.500 0.500 0.500
H1 H 0.500 0.500 0.000
# * E_tot: -7.5748 eV/atom
# * crystal system: tetragonal

- The lowest E_tot belongs to which entry?
  Ta2GaCoH